# 1
Entry from Alexandria: a relaxed K2Hg2Pt crystal (GGA-PBE).

Uncorrected energy in eV per atom: -1.693
Total moment in μB per atom: 0.0000
Energy above the most stable polymorph in this dataset in meV/atom: 296
Volume in Å³ per cell: 169.03
Energy of formation from the pure elements in eV/f.u.: 0.4
DOS at the Fermi energy in states/eV per cell: 4.052

abc: 4.1894 4.1894 10.0759
angles: 78.00 78.00 90.00
Fractional positions:
1 K 0.4135 0.4135 0.1730
2 K 0.5865 0.5865 0.8270
3 Hg 0.7500 0.2500 0.5000
4 Hg 0.2500 0.7500 0.5000
5 Pt 0.0000 0.0000 0.0000

---

# 2
Entry from Alexandria: a relaxed KHg2Pt2 crystal (GGA-PBE).

Uncorrected energy in eV per atom: -2.829
Total moment in μB per atom: 0.0000
Energy above the most stable polymorph in this dataset in meV/atom: 36
Volume in Å³ per cell: 213.29
Energy of formation from the pure elements in eV/f.u.: -0.4
DOS at the Fermi energy in states/eV per cell: 3.765

abc: 8.4781 8.4781 2.9674
angles: 90.00 90.00 90.00
Fractional positions:
1 K 0.0000 0.0000 0.0000
2 K 0.5000 0.5000 0.0000
3 Hg 0.3653 0.8653 0.0000
4 Hg 0.8653 0.6347 0.0000
5 Hg 0.6347 0.1347 0.0000
6 Hg 0.1347 0.3653 0.0000
7 Pt 0.1630 0.6630 0.5000
8 Pt 0.6630 0.8370 0.5000
9 Pt 0.8370 0.3370 0.5000
10 Pt 0.3370 0.1630 0.5000

---

# 3
Entry from Alexandria: a relaxed K6Hg3Pt crystal (GGA-PBE).

Uncorrected energy in eV per atom: -1.494
Total moment in μB per atom: 0.0000
Volume in Å³ per cell: 767.30
Energy of formation from the pure elements in eV/f.u.: -1.4
DOS at the Fermi energy in states/eV per cell: 10.326

abc: 6.9852 10.1342 10.8469
angles: 92.17 90.00 90.00
Fractional positions:
1 K 0.9307 0.3205 0.0716
2 K 0.8955 0.3350 0.4353
3 K 0.7691 0.1515 0.7704
4 K 0.2309 0.8485 0.2296
5 K 0.1045 0.6650 0.5647
6 K 0.0693 0.6795 0.9284
7 K 0.5693 0.8205 0.5716
8 K 0.6045 0.8350 0.9353
9 K 0.7309 0.6515 0.2704
10 K 0.2691 0.3485 0.7296
11 K 0.3955 0.1650 0.0647
12 K 0.4307 0.1795 0.4284
13 Hg 0.2972 0.4835 0.2777
14 Hg 0.5000 0.5000 0.0000
15 Hg 0.7028 0.5165 0.7223
16 Hg 0.2028 0.9835 0.7777
17 Hg 0.0000 0.0000 0.5000
18 Hg 0.7972 0.0165 0.2223
19 Pt 0.5000 0.5000 0.5000
20 Pt 0.0000 0.0000 0.0000

---

# 4
Entry from Alexandria: a relaxed KHg9Pt2 crystal (GGA-PBE).

Uncorrected energy in eV per atom: -1.395
Total moment in μB per atom: 0.0000
Volume in Å³ per cell: 308.49
Energy of formation from the pure elements in eV/f.u.: -0.8
DOS at the Fermi energy in states/eV per cell: 2.818

abc: 4.1046 9.3159 9.3158
angles: 120.00 90.00 90.00
Fractional positions:
1 K 0.0000 0.0000 0.0000
2 Hg 0.5000 0.8039 0.1961
3 Hg 0.0000 0.0000 0.5000
4 Hg 0.0000 0.5000 0.5000
5 Hg 0.5000 0.8039 0.6079
6 Hg 0.5000 0.1961 0.8039
7 Hg 0.5000 0.6079 0.8039
8 Hg 0.5000 0.1961 0.3921
9 Hg 0.0000 0.5000 0.0000
10 Hg 0.5000 0.3921 0.1961
11 Pt 0.0000 0.6667 0.3333
12 Pt 0.0000 0.3333 0.6667

---

# 5
Entry from Alexandria: a relaxed K2Hg2Pt crystal (GGA-PBE).

Uncorrected energy in eV per atom: -1.989
Total moment in μB per atom: 0.0000
Energy above the most stable polymorph in this dataset in meV/atom: 0
Volume in Å³ per cell: 322.79
Energy of formation from the pure elements in eV/f.u.: -1.1
DOS at the Fermi energy in states/eV per cell: 3.692

abc: 4.8252 6.5336 11.2957
angles: 88.56 77.77 68.30
Fractional positions:
1 K 0.6523 0.3480 0.3459
2 K 0.9235 0.2825 0.8730
3 K 0.3477 0.6520 0.6541
4 K 0.0765 0.7175 0.1270
5 Hg 0.1300 0.1836 0.5584
6 Hg 0.6303 0.8668 0.8770
7 Hg 0.8700 0.8164 0.4416
8 Hg 0.3697 0.1332 0.1230
9 Pt 0.6256 0.0839 0.6676
10 Pt 0.3744 0.9161 0.3324

---

# 6
Entry from Alexandria: a relaxed K6HgPt crystal (GGA-PBE).

Uncorrected energy in eV per atom: -1.684
Total moment in μB per atom: 0.0000
Volume in Å³ per cell: 425.88
Energy of formation from the pure elements in eV/f.u.: -0.5
DOS at the Fermi energy in states/eV per cell: 4.740

abc: 4.4961 9.7490 9.7488
angles: 94.69 90.00 90.00
Fractional positions:
1 K 0.0000 0.5107 0.7747
2 K 0.0000 0.2253 0.4893
3 K 0.0000 0.6650 0.3350
4 K 0.5000 0.9245 0.6552
5 K 0.5000 0.3448 0.0755
6 K 0.5000 0.9380 0.0620
7 Hg 0.0000 0.1386 0.8614
8 Pt 0.5000 0.2531 0.7469

---

# 7
Entry from Alexandria: a relaxed K2Hg3Pt crystal (GGA-PBE).

Uncorrected energy in eV per atom: -1.720
Total moment in μB per atom: 0.0000
Volume in Å³ per cell: 347.29
Energy of formation from the pure elements in eV/f.u.: -1.2
DOS at the Fermi energy in states/eV per cell: 2.600

abc: 4.9094 5.7282 12.3494
angles: 90.00 90.00 90.00
Fractional positions:
1 K 0.5000 0.7855 0.2208
2 K 0.0000 0.7145 0.7208
3 K 0.0000 0.2855 0.2792
4 K 0.5000 0.2145 0.7792
5 Hg 0.0000 0.0000 0.0000
6 Hg 0.5000 0.5000 0.5000
7 Hg 0.5000 0.2908 0.0805
8 Hg 0.5000 0.7092 0.9195
9 Hg 0.0000 0.2092 0.5805
10 Hg 0.0000 0.7908 0.4195
11 Pt 0.0000 0.5000 0.0000
12 Pt 0.5000 0.0000 0.5000

---

# 8
Entry from Alexandria: a relaxed K2Hg5Pt2 crystal (GGA-PBE).

Uncorrected energy in eV per atom: -1.933
Total moment in μB per atom: 0.0000
Volume in Å³ per cell: 245.91
Energy of formation from the pure elements in eV/f.u.: -1.6
DOS at the Fermi energy in states/eV per cell: 2.841

abc: 5.4068 5.4068 8.4119
angles: 90.00 90.00 90.00
Fractional positions:
1 K 0.0000 0.0000 0.0000
2 K 0.0000 0.0000 0.5000
3 Hg 0.5000 0.0000 0.2164
4 Hg 0.5000 0.0000 0.7836
5 Hg 0.5000 0.5000 0.5000
6 Hg 0.0000 0.5000 0.2164
7 Hg 0.0000 0.5000 0.7836
8 Pt 0.5000 0.5000 0.1743
9 Pt 0.5000 0.5000 0.8257

---

# 9
Entry from Alexandria: a relaxed K3Hg3Pt2 crystal (GGA-PBE).

Uncorrected energy in eV per atom: -2.229
Total moment in μB per atom: 0.0000
Volume in Å³ per cell: 245.48
Energy of formation from the pure elements in eV/f.u.: -1.6
DOS at the Fermi energy in states/eV per cell: 3.247

abc: 4.5923 6.2985 8.7934
angles: 90.08 74.83 90.03
Fractional positions:
1 K 0.1659 0.5955 0.6689
2 K 0.8341 0.4045 0.3311
3 K 0.0000 0.0000 0.0000
4 Hg 0.6380 0.1798 0.7240
5 Hg 0.5000 0.5000 0.0000
6 Hg 0.3620 0.8202 0.2760
7 Pt 0.2193 0.0708 0.5613
8 Pt 0.7807 0.9292 0.4387

---

# 10
Entry from Alexandria: a relaxed K3HgPt crystal (GGA-PBE).

Uncorrected energy in eV per atom: -2.063
Total moment in μB per atom: 0.0000
Energy above the most stable polymorph in this dataset in meV/atom: 0
Volume in Å³ per cell: 756.27
Energy of formation from the pure elements in eV/f.u.: -0.7
DOS at the Fermi energy in states/eV per cell: 8.984

abc: 6.0841 10.3615 12.3168
angles: 103.09 90.00 90.00
Fractional positions:
1 K 0.9158 0.9990 0.3530
2 K 0.0842 0.0010 0.6470
3 K 0.4158 0.0010 0.1470
4 K 0.5842 0.9990 0.8530
5 K 0.4722 0.2644 0.4247
6 K 0.5278 0.7356 0.5753
7 K 0.9722 0.7356 0.0753
8 K 0.0278 0.2644 0.9247
9 K 0.9737 0.3681 0.6223
10 K 0.0263 0.6319 0.3777
11 K 0.4737 0.6319 0.8777
12 K 0.5263 0.3681 0.1223
13 Hg 0.9931 0.2910 0.2609
14 Hg 0.0069 0.7090 0.7391
15 Hg 0.4931 0.7090 0.2391
16 Hg 0.5069 0.2910 0.7609
17 Pt 0.5782 0.0813 0.5885
18 Pt 0.4218 0.9187 0.4115
19 Pt 0.0782 0.9187 0.9115
20 Pt 0.9218 0.0813 0.0885

---

# 11
Entry from Alexandria: a relaxed K4Hg6Pt crystal (GGA-PBE).

Uncorrected energy in eV per atom: -1.267
Total moment in μB per atom: 0.0000
Volume in Å³ per cell: 717.51
Energy of formation from the pure elements in eV/f.u.: -1.7
DOS at the Fermi energy in states/eV per cell: 11.220

abc: 9.2090 9.2090 8.4607
angles: 90.00 90.00 90.00
Fractional positions:
1 K 0.3493 0.1507 0.2500
2 K 0.1507 0.6507 0.7500
3 K 0.6507 0.8493 0.7500
4 K 0.8493 0.3493 0.7500
5 K 0.3493 0.1507 0.7500
6 K 0.1507 0.6507 0.2500
7 K 0.8493 0.3493 0.2500
8 K 0.6507 0.8493 0.2500
9 Hg 0.2993 0.8835 0.5000
10 Hg 0.7993 0.6165 0.0000
11 Hg 0.6165 0.2007 0.0000
12 Hg 0.1165 0.2993 0.5000
13 Hg 0.0000 0.0000 0.1725
14 Hg 0.5000 0.5000 0.3275
15 Hg 0.3835 0.7993 0.0000
16 Hg 0.0000 0.0000 0.8275
17 Hg 0.2007 0.3835 0.0000
18 Hg 0.5000 0.5000 0.6725
19 Hg 0.8835 0.7007 0.5000
20 Hg 0.7007 0.1165 0.5000
21 Pt 0.5000 0.5000 0.0000
22 Pt 0.0000 0.0000 0.5000

---

# 12
Entry from Alexandria: a relaxed K4Hg10Pt3 crystal (GGA-PBE).

Uncorrected energy in eV per atom: -1.754
Total moment in μB per atom: 0.0000
Volume in Å³ per cell: 557.73
Energy of formation from the pure elements in eV/f.u.: -4.3
DOS at the Fermi energy in states/eV per cell: 4.104

abc: 5.3745 5.3745 19.6792
angles: 97.85 97.85 90.00
Fractional positions:
1 K 0.5674 0.5674 0.1348
2 K 0.4326 0.4326 0.8652
3 K 0.3007 0.3007 0.6015
4 K 0.6993 0.6993 0.3985
5 Hg 0.1378 0.6378 0.2757
6 Hg 0.0696 0.0696 0.1392
7 Hg 0.6378 0.1378 0.2757
8 Hg 0.8622 0.3622 0.7243
9 Hg 0.3622 0.8622 0.7243
10 Hg 0.9304 0.9304 0.8608
11 Hg 0.2114 0.2114 0.4228
12 Hg 0.7886 0.7886 0.5772
13 Hg 0.0000 0.5000 0.0000
14 Hg 0.5000 0.0000 0.0000
15 Pt 0.1395 0.1395 0.2790
16 Pt 0.8605 0.8605 0.7210
17 Pt 0.0000 0.0000 0.0000

---

Q: Which of these has the lowest DOS at the Fermi energy?
A: K2Hg3Pt

---

Q: uncorrected energy of number 1 (K2Hg2Pt)?
A: -1.693 eV per atom

---

Q: Which value of energy of formation from the pure elements does entry 11 give?
A: -1.7 eV/f.u.

---

Q: What is the formula in the eighth record?
A: K2Hg5Pt2